[1]
The following is a DFT calculation (GGA-PBE) of a relaxed Ba14Pt3Au6 crystal.

- Symmetry: P3

a = 8.162 Å, b = 11.522 Å, c = 11.522 Å
α = 120.00°, β = 90.00°, γ = 90.00°
Atoms (fractional coordinates):
Ba  0.018  0.125  0.250
Ba  0.018  0.750  0.875
Ba  0.018  0.125  0.875
Ba  0.527  0.209  0.417
Ba  0.527  0.583  0.792
Ba  0.527  0.208  0.791
Ba  0.438  0.000  0.000
Ba  0.946  0.333  0.667
Ba  0.671  0.792  0.208
Ba  0.671  0.792  0.584
Ba  0.671  0.416  0.208
Ba  0.197  0.538  0.463
Ba  0.197  0.537  0.075
Ba  0.197  0.925  0.462
Pt  0.802  0.000  0.000
Pt  0.310  0.333  0.667
Pt  0.431  0.667  0.333
Au  0.274  0.852  0.146
Au  0.274  0.854  0.706
Au  0.274  0.294  0.148
Au  0.784  0.482  0.519
Au  0.784  0.481  0.962
Au  0.784  0.038  0.518

[2]
The following is a DFT calculation (GGA-PBE) of a relaxed BaPtAu2 crystal.

- Symmetry: Pmmm
- Energy relative to the lowest polymorph listed for this composition: 345 meV/atom

a = 3.326 Å, b = 3.960 Å, c = 7.052 Å
α = 90.00°, β = 90.00°, γ = 90.00°
Atoms (fractional coordinates):
Au  0.000  0.000  0.944
Au  0.000  0.000  0.556
Ba  0.500  0.500  0.250
Pt  0.500  0.500  0.750

[3]
The following is a DFT calculation (GGA-PBE) of a relaxed Ba4PtAu3 crystal.

- Symmetry: Pmm2

a = 4.501 Å, b = 4.911 Å, c = 12.194 Å
α = 90.00°, β = 90.00°, γ = 90.00°
Atoms (fractional coordinates):
Ba  0.500  0.500  0.353
Ba  0.000  0.500  0.874
Ba  0.000  0.000  0.136
Ba  0.500  0.000  0.636
Pt  0.500  0.500  0.078
Au  0.000  0.500  0.579
Au  0.000  0.000  0.420
Au  0.500  0.000  0.925

no.,formation energy from the elements (eV per atom)
1,-0.585
2,-0.172
3,-0.722